## Sc2Si2Sb (SCAN)

Data for a PBEsol-optimized structure of Sc2Si2Sb.

Unit cell a=7.0687 b=7.0687 c=3.7963 alpha=90.00 beta=90.00 gamma=90.00
Last column: nearest neighbours and their distance in Å.
Element x y z (fractional)
Sc 0.1790 0.3210 0.0000  6 Si 2.79-2.86
Sc 0.3210 0.8210 0.0000  6 Si 2.79-2.86
Sc 0.6790 0.1790 0.0000  6 Si 2.79-2.86
Sc 0.8210 0.6790 0.0000  6 Si 2.79-2.86
Si 0.1163 0.6163 0.5000  1 Si 2.33
Si 0.3837 0.1163 0.5000  1 Si 2.33
Si 0.6163 0.8837 0.5000  1 Si 2.33
Si 0.8837 0.3837 0.5000  1 Si 2.33
Sb 0.0000 0.0000 0.5000  4 Si 2.83
Sb 0.5000 0.5000 0.5000  4 Si 2.83

Energy relative to the elements, uncorrected, eV per atom: -0.534


## Y2TlPb (SCAN)

Data for a PBEsol-optimized structure of Y2TlPb.

Unit cell a=5.5552 b=5.5552 c=5.5552 alpha=127.34 beta=127.34 gamma=77.70
Last column: nearest neighbours and their distance in Å.
Element x y z (fractional)
Y 0.2500 0.7500 0.5000  4 Tl 3.28, 4 Pb 3.28, 4 Y 3.48
Y 0.7500 0.2500 0.5000  4 Tl 3.28, 4 Pb 3.28, 4 Y 3.48
Tl 0.0000 0.0000 0.0000  8 Y 3.28, 4 Pb 3.48
Pb 0.5000 0.5000 0.0000  8 Y 3.28, 4 Tl 3.48

Total DFT energy (no corrections), eV per atom: -51.60


## Zn2ReCl (SCAN)

Data for a PBEsol-optimized structure of Zn2ReCl.

Unit cell a=2.8487 b=2.8487 c=7.8901 alpha=90.00 beta=90.00 gamma=90.00
Last column: nearest neighbours and their distance in Å.
Element x y z (fractional)
Zn 0.0000 0.0000 0.0000  4 Re 2.68, 8 Zn 2.69-2.85
Zn 0.5000 0.5000 0.2264  8 Zn 2.69-2.85
Re 0.5000 0.5000 0.7762  4 Cl 2.55, 4 Zn 2.68, 4 Re 2.85
Cl 0.0000 0.0000 0.5782  4 Re 2.55, 4 Cl 2.85

Energy relative to the elements, uncorrected, eV per atom: 0.558


## TaIn2Te (SCAN)

Data for a PBEsol-optimized structure of TaIn2Te.

Unit cell a=3.2014 b=5.3090 c=5.4268 alpha=90.00 beta=97.85 gamma=90.00
Last column: nearest neighbours and their distance in Å.
Element x y z (fractional)
Ta 0.0000 0.0000 0.0000  2 Te 2.71
In 0.3402 0.5000 0.2360  5 In 2.89-3.20, 2 Ta 3.08
In 0.6598 0.5000 0.7640  5 In 2.89-3.20, 2 Ta 3.08
Te 0.0000 0.0000 0.5000  2 Ta 2.71

Energy relative to the elements, uncorrected, eV per atom: 0.449


no.,D(E_F) (states/eV per atom),total magnetic moment (μB/f.u.)
1,0.44,0.00
2,0.70,0.00
3,0.60,0.00
4,0.63,0.00